DFT (PBE-GGA) results for an optimized crystal structure of Zr2CdBr.

* crystal system: trigonal
* M_tot: 0.00 μB per atom
* formation energy from raw total energies: -0.356 eV/atom
* energy relative to the lowest polymorph listed for this composition: 0 meV per atom

Cell: 10.4796 10.4796 10.4796 Å, 18.70 18.70 18.70°
Atoms (fractional coordinates):
Zr 0.0000 0.0000 0.0000
Zr 0.2563 0.2563 0.2563
Cd 0.7463 0.7463 0.7463
Br 0.5261 0.5261 0.5261



DFT (PBE-GGA) results for an optimized crystal structure of KSn6Bi2.

* energy of formation from the pure elements: 0.03 eV/atom
* crystal system: monoclinic
* M_tot: 0.00 μB per atom
* energy relative to the lowest polymorph listed for this composition: 44 meV per atom

Cell: 8.8433 8.8433 5.4201 Å, 107.80 107.80 43.95°
Atoms (fractional coordinates):
K 0.0000 0.0000 0.0000
Sn 0.1337 0.6584 0.3961
Sn 0.2241 0.2241 0.2293
Sn 0.3416 0.8663 0.6039
Sn 0.6584 0.1337 0.3961
Sn 0.7759 0.7759 0.7707
Sn 0.8663 0.3416 0.6039
Bi 0.3523 0.3523 0.8514
Bi 0.6477 0.6477 0.1486



DFT (PBE-GGA) results for an optimized crystal structure of BaMnCo2.

* energy of formation from the pure elements: 0.92 eV/atom
* crystal system: tetragonal
* M_tot: 1.51 μB per atom
* energy relative to the lowest polymorph listed for this composition: 610 meV per atom

Cell: 4.6393 4.6393 3.3681 Å, 90.00 90.00 90.00°
Atoms (fractional coordinates):
Ba 0.0000 0.0000 0.0000
Mn 0.5000 0.5000 0.0000
Co 0.0000 0.5000 0.5000
Co 0.5000 0.0000 0.5000



DFT (PBE-GGA) results for an optimized crystal structure of Tb8Sm6Tm.

* energy of formation from the pure elements: 0.12 eV/atom
* crystal system: trigonal
* M_tot: 0.00 μB per atom
* energy relative to the lowest polymorph listed for this composition: 0 meV per atom

Cell: 8.6856 8.6856 8.6856 Å, 63.24 63.24 63.24°
Atoms (fractional coordinates):
Tb 0.0771 0.0771 0.0771
Tb 0.2205 0.2470 0.6115
Tb 0.2470 0.6115 0.2205
Tb 0.3885 0.7795 0.7530
Tb 0.6115 0.2205 0.2470
Tb 0.7530 0.3885 0.7795
Tb 0.7795 0.7530 0.3885
Tb 0.9229 0.9229 0.9229
Sm 0.0393 0.7304 0.6038
Sm 0.2696 0.3962 0.9607
Sm 0.3962 0.9607 0.2696
Sm 0.6038 0.0393 0.7304
Sm 0.7304 0.6038 0.0393
Sm 0.9607 0.2696 0.3962
Tm 0.5000 0.5000 0.5000



DFT (PBE-GGA) results for an optimized crystal structure of BeCdCu.

* energy of formation from the pure elements: 0.23 eV/atom
* crystal system: trigonal
* M_tot: 0.00 μB per atom
* energy relative to the lowest polymorph listed for this composition: 199 meV per atom

Cell: 4.1369 4.1369 2.7993 Å, 90.00 90.00 120.00°
Atoms (fractional coordinates):
Be 0.0000 0.0000 0.0000
Cd 0.6667 0.3333 0.5057
Cu 0.3333 0.6667 0.0077



DFT (PBE-GGA) results for an optimized crystal structure of Sr2LiZn2.

* energy of formation from the pure elements: -0.04 eV/atom
* crystal system: tetragonal
* M_tot: 0.00 μB per atom
* energy relative to the lowest polymorph listed for this composition: 113 meV per atom

Cell: 6.0000 6.0000 6.0000 Å, 117.50 117.50 94.38°
Atoms (fractional coordinates):
Sr 0.2500 0.7500 0.5000
Sr 0.7500 0.2500 0.5000
Li 0.0000 0.0000 0.0000
Zn 0.3511 0.3511 0.0000
Zn 0.6489 0.6489 0.0000



DFT (PBE-GGA) results for an optimized crystal structure of TaAg2Au.

* energy of formation from the pure elements: 0.17 eV/atom
* crystal system: tetragonal
* M_tot: 0.00 μB per atom
* energy relative to the lowest polymorph listed for this composition: 79 meV per atom

Cell: 2.8690 2.8690 8.6415 Å, 90.00 90.00 90.00°
Atoms (fractional coordinates):
Ta 0.0000 0.0000 0.0000
Ag 0.5000 0.5000 0.2500
Ag 0.5000 0.5000 0.7500
Au 0.0000 0.0000 0.5000



DFT (PBE-GGA) results for an optimized crystal structure of NdPuRh2.

* energy of formation from the pure elements: -0.31 eV/atom
* crystal system: monoclinic
* M_tot: 1.26 μB per atom

Cell: 4.1540 4.1540 11.1256 Å, 94.26 94.26 88.86°
Atoms (fractional coordinates):
Nd 0.1846 0.1846 0.1383
Nd 0.8154 0.8154 0.8617
Pu 0.2862 0.2862 0.6560
Pu 0.7138 0.7138 0.3440
Rh 0.2495 0.7505 0.5000
Rh 0.3267 0.3267 0.8955
Rh 0.6733 0.6733 0.1045
Rh 0.7505 0.2495 0.5000



DFT (PBE-GGA) results for an optimized crystal structure of SrAc2Bi.

* energy of formation from the pure elements: -0.31 eV/atom
* crystal system: tetragonal
* M_tot: 0.00 μB per atom
* energy relative to the lowest polymorph listed for this composition: 0 meV per atom

Cell: 5.3383 5.3383 5.4831 Å, 90.00 90.00 90.00°
Atoms (fractional coordinates):
Sr 0.0000 0.0000 0.0000
Ac 0.0000 0.5000 0.5000
Ac 0.5000 0.0000 0.5000
Bi 0.5000 0.5000 0.0000



DFT (PBE-GGA) results for an optimized crystal structure of Cd2PbO4.

* crystal system: orthorhombic
* M_tot: 0.00 μB per atom
* formation energy from raw total energies: -0.986 eV/atom

Cell: 5.7661 10.1832 3.3587 Å, 90.00 90.00 90.00°
Atoms (fractional coordinates):
Cd 0.0627 0.1765 0.0000
Cd 0.4373 0.6765 0.0000
Cd 0.5627 0.3235 0.0000
Cd 0.9373 0.8235 0.0000
Pb 0.0000 0.5000 0.5000
Pb 0.5000 0.0000 0.5000
O 0.1371 0.7018 0.5000
O 0.2489 0.4651 0.0000
O 0.2511 0.9651 0.0000
O 0.3629 0.2018 0.5000
O 0.6371 0.7982 0.5000
O 0.7489 0.0349 0.0000
O 0.7511 0.5349 0.0000
O 0.8629 0.2982 0.5000



DFT (PBE-GGA) results for an optimized crystal structure of Tm2Cu2Pd.

* energy of formation from the pure elements: -0.49 eV/atom
* crystal system: monoclinic
* M_tot: 0.00 μB per atom
* energy relative to the lowest polymorph listed for this composition: 0 meV per atom

Cell: 5.4263 5.4263 10.6978 Å, 110.96 110.96 42.27°
Atoms (fractional coordinates):
Tm 0.0057 0.0057 0.3365
Tm 0.1892 0.1892 0.1142
Tm 0.8108 0.8108 0.8858
Tm 0.9943 0.9943 0.6635
Cu 0.3640 0.3640 0.4528
Cu 0.4696 0.4696 0.1058
Cu 0.5304 0.5304 0.8942
Cu 0.6360 0.6360 0.5472
Pd 0.2915 0.2915 0.6790
Pd 0.7085 0.7085 0.3210



DFT (PBE-GGA) results for an optimized crystal structure of Ta2CoW.

* energy of formation from the pure elements: -0.02 eV/atom
* crystal system: orthorhombic
* M_tot: 0.04 μB per atom
* energy relative to the lowest polymorph listed for this composition: 63 meV per atom

Cell: 2.7770 2.7770 8.4286 Å, 90.00 90.00 104.86°
Atoms (fractional coordinates):
Ta 0.0000 0.0000 0.2264
Ta 0.0000 0.0000 0.7736
Co 0.5000 0.5000 0.0000
W 0.5000 0.5000 0.5000



DFT (PBE-GGA) results for an optimized crystal structure of KZn4Cd2.

* energy of formation from the pure elements: 0.57 eV/atom
* crystal system: tetragonal
* M_tot: 0.00 μB per atom

Cell: 8.6239 8.6239 8.6239 Å, 140.03 140.03 57.81°
Atoms (fractional coordinates):
K 0.0000 0.0000 0.0000
Zn 0.0000 0.5000 0.5000
Zn 0.2220 0.2220 0.0000
Zn 0.5000 0.0000 0.5000
Zn 0.7780 0.7780 0.0000
Cd 0.4069 0.4069 0.0000
Cd 0.5931 0.5931 0.0000



DFT (PBE-GGA) results for an optimized crystal structure of BePt4W.

* energy of formation from the pure elements: 0.43 eV/atom
* crystal system: cubic
* M_tot: 0.06 μB per atom

Cell: 5.1721 5.1721 5.1721 Å, 60.00 60.00 60.00°
Atoms (fractional coordinates):
Be 0.0000 0.0000 0.0000
Pt 0.1252 0.6249 0.6249
Pt 0.6249 0.1252 0.6249
Pt 0.6249 0.6249 0.1252
Pt 0.6249 0.6249 0.6249
W 0.2500 0.2500 0.2500



DFT (PBE-GGA) results for an optimized crystal structure of CoSeCl3.

* crystal system: cubic
* M_tot: 0.01 μB per atom
* formation energy from raw total energies: 0.149 eV/atom
* energy relative to the lowest polymorph listed for this composition: 0 meV per atom

Cell: 4.7610 4.7610 4.7610 Å, 90.00 90.00 90.00°
Atoms (fractional coordinates):
Co 0.0000 0.0000 0.0000
Se 0.5000 0.5000 0.5000
Cl 0.0000 0.0000 0.5000
Cl 0.0000 0.5000 0.0000
Cl 0.5000 0.0000 0.0000



DFT (PBE-GGA) results for an optimized crystal structure of Hf2CoSiRh.

* crystal system: tetragonal
* M_tot: 0.22 μB per atom
* formation energy from raw total energies: 0.286 eV/atom

Cell: 4.8661 4.8661 4.0260 Å, 90.00 90.00 90.00°
Atoms (fractional coordinates):
Hf 0.0000 0.5000 0.0000
Hf 0.5000 0.0000 0.0000
Co 0.0000 0.0000 0.5000
Si 0.0000 0.0000 0.0000
Rh 0.5000 0.5000 0.5000



DFT (PBE-GGA) results for an optimized crystal structure of LiIn2Hg.

* energy of formation from the pure elements: -0.09 eV/atom
* crystal system: monoclinic
* M_tot: 0.00 μB per atom

Cell: 3.4055 3.4055 9.7237 Å, 99.12 99.12 58.33°
Atoms (fractional coordinates):
Li 0.0000 0.0000 0.0000
In 0.3993 0.3993 0.2364
In 0.6014 0.6014 0.7624
Hg 0.1930 0.1930 0.5002



DFT (PBE-GGA) results for an optimized crystal structure of Cs2KSbSe4.

* crystal system: orthorhombic
* M_tot: 0.00 μB per atom
* formation energy from raw total energies: -0.780 eV/atom

Cell: 15.4923 14.1127 8.2496 Å, 83.29 64.78 31.93°
Atoms (fractional coordinates):
Cs 0.0628 0.0628 0.6872
Cs 0.3128 0.3128 0.9372
Cs 0.6872 0.6872 0.0628
Cs 0.9372 0.9372 0.3128
K 0.1250 0.1250 0.1250
K 0.8750 0.8750 0.8750
Sb 0.3750 0.3750 0.3750
Sb 0.6250 0.6250 0.6250
Se 0.0324 0.6106 0.5075
Se 0.3495 0.5075 0.6106
Se 0.3894 0.9676 0.6505
Se 0.4925 0.6505 0.9676
Se 0.5075 0.3495 0.0324
Se 0.6106 0.0324 0.3495
Se 0.6505 0.4925 0.3894
Se 0.9676 0.3894 0.4925



DFT (PBE-GGA) results for an optimized crystal structure of Y3ErCo.

* energy of formation from the pure elements: -0.05 eV/atom
* crystal system: orthorhombic
* M_tot: 0.00 μB per atom
* energy relative to the lowest polymorph listed for this composition: 57 meV per atom

Cell: 7.4862 6.3475 6.0724 Å, 90.00 90.00 90.00°
Atoms (fractional coordinates):
Y 0.0000 0.1553 0.0000
Y 0.2494 0.3238 0.4991
Y 0.2506 0.6762 0.9991
Y 0.5000 0.8447 0.5000
Y 0.7494 0.6762 0.9991
Y 0.7506 0.3238 0.4991
Er 0.0000 0.8413 0.4983
Er 0.5000 0.1587 0.9983
Co 0.0000 0.5027 0.2500
Co 0.5000 0.4973 0.7500



DFT (PBE-GGA) results for an optimized crystal structure of Tl12Hg5Pb2.

* energy of formation from the pure elements: 0.02 eV/atom
* crystal system: monoclinic
* M_tot: 0.00 μB per atom
* energy relative to the lowest polymorph listed for this composition: 0 meV per atom

Cell: 8.4929 8.4929 8.5314 Å, 102.79 102.79 83.71°
Atoms (fractional coordinates):
Tl 0.0558 0.0558 0.2179
Tl 0.0706 0.5372 0.6978
Tl 0.1520 0.6406 0.0991
Tl 0.3575 0.3575 0.4199
Tl 0.3594 0.8480 0.9009
Tl 0.4628 0.9294 0.3022
Tl 0.5372 0.0706 0.6978
Tl 0.6406 0.1520 0.0991
Tl 0.6425 0.6425 0.5801
Tl 0.8480 0.3594 0.9009
Tl 0.9294 0.4628 0.3022
Tl 0.9442 0.9442 0.7821
Hg 0.1615 0.1615 0.6215
Hg 0.2423 0.2423 0.0106
Hg 0.5000 0.5000 0.0000
Hg 0.7577 0.7577 0.9894
Hg 0.8385 0.8385 0.3785
Pb 0.2346 0.7654 0.5000
Pb 0.7654 0.2346 0.5000